Mg3Zn2Cu7 after structural relaxation, computed with GGA-PBE.

Computed properties:
D(E_F) = 5.4 states/eV per cell
SG = R-3m (166)
Total energy = -37.34 eV for the cell shown

Cell and atoms, written as POSCAR:
```
Mg3Zn2Cu7
1.0
-1.9008 7.9190 -2.2232
-6.1514 5.7633 -0.4588
-2.6540 7.5139 2.7864
Cu Mg Zn
7 3 2
Cartesian
-3.1732 9.5388 0.2943 Cu
-5.3753 12.7515 -1.0855 Cu
-4.9486 8.6502 -1.3531 Cu
-5.3531 10.5980 0.0522 Cu
-5.7576 12.5459 1.4575 Cu
-7.5330 11.6572 -0.1899 Cu
-5.3309 8.4446 1.1900 Cu
0.0000 0.0000 0.0000 Mg
-9.1838 18.1820 0.0896 Mg
-1.5224 3.0141 0.0148 Mg
-7.1324 14.1208 0.0696 Zn
-3.5738 7.0753 0.0349 Zn
```

***

AcNiAs2 after structural relaxation, computed with GGA-PBE.

Computed properties:
D(E_F) = 2.8 states/eV per cell
Offset from the most stable computed form = 85.6 kJ/mol of formula units
SG = R-3m (166)
Total energy = -21.71 eV for the cell shown

Cell and atoms, written as POSCAR:
```
AcNiAs2
1.0
4.2719 0.0000 0.0000
2.1360 3.6996 0.0000
2.1360 1.2332 5.4739
As Ni Ac
2 1 1
Cartesian
6.4079 3.6996 3.4871 As
2.1360 1.2332 1.9868 As
4.2719 2.4664 2.7370 Ni
0.0000 0.0000 0.0000 Ac
```